[1]
# BaHfS3 (PBE, relaxed)
data_BaHfS3
_symmetry_space_group_name_H-M 'R 3 m'
_symmetry_Int_Tables_number 160
_symmetry_space_group_name_Hall 'R 3 -2"'
_cell_length_a 8.3093
_cell_length_b 8.3093
_cell_length_c 11.9984
_cell_angle_alpha 90.00
_cell_angle_beta 90.00
_cell_angle_gamma 120.00
loop_
_atom_site_label
_atom_site_type_symbol
_atom_site_fract_x
_atom_site_fract_y
_atom_site_fract_z
Ba1 Ba 0.0000 0.0000 0.0000
Hf1 Hf 0.0000 0.0000 0.6968
S1 S 0.0465 0.5232 0.4513
# Magnetization in μB per formula unit: 0.00
# Final energy in eV/atom: -6.08
# ΔE_f (raw) in meV/atom: -1229
# Calculated density in g/cm³: 2.9

[2]
# BaSr2Fe (PBE, relaxed)
data_BaSr2Fe
_symmetry_space_group_name_H-M 'P 4 m m'
_symmetry_Int_Tables_number 99
_cell_length_a 4.022
_cell_length_b 4.022
_cell_length_c 10.323
_cell_angle_alpha 90.00
_cell_angle_beta 90.00
_cell_angle_gamma 90.00
loop_
_symmetry_equiv_pos_as_xyz
'x,y,z'
'-y,x,z'
'-x,-y,z'
'y,-x,z'
'-x,y,z'
'y,x,z'
'x,-y,z'
'-y,-x,z'
loop_
_atom_site_label
_atom_site_type_symbol
_atom_site_fract_x
_atom_site_fract_y
_atom_site_fract_z
Ba1 Ba 0.000 0.000 0.000
Sr1 Sr 0.000 0.000 0.644
Sr2 Sr 0.500 0.500 0.333
Fe1 Fe 0.500 0.500 0.813
# Magnetization in μB per formula unit: 2.45
# Final energy in eV/atom: -3.01
# Calculated density in g/cm³: 3.7
# Formation enthalpy at 0 K in eV/atom: 0.43
# Energy above the most stable polymorph in this dataset in eV per atom: 0.000

[3]
# ZnAs2Pt (PBE, relaxed)
data_ZnAs2Pt
_symmetry_space_group_name_H-M 'I m m m'
_symmetry_Int_Tables_number 71
_symmetry_space_group_name_Hall '-I 2 2'
_cell_length_a 3.224
_cell_length_b 4.152
_cell_length_c 11.175
_cell_angle_alpha 90.00
_cell_angle_beta 90.00
_cell_angle_gamma 90.00
loop_
_atom_site_label
_atom_site_type_symbol
_atom_site_fract_x
_atom_site_fract_y
_atom_site_fract_z
Zn1 Zn 0.000 0.000 0.000
As1 As 0.000 0.500 0.183
Pt1 Pt 0.000 0.000 0.500
# Magnetization in μB per formula unit: 0.00
# Final energy in eV/atom: -4.24
# Calculated density in g/cm³: 9.1
# Formation enthalpy at 0 K in eV/atom: -0.08

[4]
# CdPt2Pb (PBE, relaxed)
data_CdPt2Pb
_symmetry_space_group_name_H-M 'R -3 m'
_symmetry_Int_Tables_number 166
_symmetry_space_group_name_Hall '-R 3 2"'
_cell_length_a 3.1288
_cell_length_b 3.1288
_cell_length_c 27.6011
_cell_angle_alpha 90.00
_cell_angle_beta 90.00
_cell_angle_gamma 120.00
loop_
_atom_site_label
_atom_site_type_symbol
_atom_site_fract_x
_atom_site_fract_y
_atom_site_fract_z
Cd1 Cd 0.0000 0.0000 0.0000
Pt1 Pt 0.0000 0.0000 0.2540
Pb1 Pb 0.0000 0.0000 0.5000
# Magnetization in μB per formula unit: 0.00
# Final energy in eV/atom: -4.18
# Calculated density in g/cm³: 15.1
# Formation enthalpy at 0 K in eV/atom: 0.00
# Energy above the most stable polymorph in this dataset in eV per atom: 0.180

[5]
# LiZn3 (PBE, relaxed)
data_LiZn3
_symmetry_space_group_name_H-M 'P m m 2'
_symmetry_Int_Tables_number 25
_cell_length_a 2.698
_cell_length_b 4.402
_cell_length_c 4.927
_cell_angle_alpha 90.00
_cell_angle_beta 90.00
_cell_angle_gamma 90.00
loop_
_symmetry_equiv_pos_as_xyz
'x,y,z'
'-x,-y,z'
'-x,y,z'
'x,-y,z'
loop_
_atom_site_label
_atom_site_type_symbol
_atom_site_fract_x
_atom_site_fract_y
_atom_site_fract_z
Li1 Li 0.000 0.000 0.000
Zn1 Zn 0.000 0.500 0.315
Zn2 Zn 0.500 0.000 0.509
Zn3 Zn 0.500 0.500 0.827
# Magnetization in μB per formula unit: 0.00
# Final energy in eV/atom: -1.55
# Calculated density in g/cm³: 5.8
# Formation enthalpy at 0 K in eV/atom: -0.12

[6]
# NpTcN (PBE, relaxed)
data_NpTcN
_symmetry_space_group_name_H-M 'F d d d'
_symmetry_Int_Tables_number 70
_cell_length_a 7.678
_cell_length_b 8.725
_cell_length_c 10.624
_cell_angle_alpha 90.00
_cell_angle_beta 90.00
_cell_angle_gamma 90.00
loop_
_symmetry_equiv_pos_as_xyz
'x,y,z'
'-x,-y,-z'
'-x+1/4,-y+1/4,z'
'x+1/4,y+1/4,-z'
'x,-y+1/4,-z+1/4'
'-x,y+1/4,z+1/4'
'-x+1/4,y,-z+1/4'
'x+1/4,-y,z+1/4'
'x,y+1/2,z+1/2'
'-x,-y+1/2,-z+1/2'
'-x+1/4,-y+3/4,z+1/2'
'x+1/4,y+3/4,-z+1/2'
'x,-y+3/4,-z+3/4'
'-x,y+3/4,z+3/4'
'-x+1/4,y+1/2,-z+3/4'
'x+1/4,-y+1/2,z+3/4'
'x+1/2,y,z+1/2'
'-x+1/2,-y,-z+1/2'
'-x+3/4,-y+1/4,z+1/2'
'x+3/4,y+1/4,-z+1/2'
'x+1/2,-y+1/4,-z+3/4'
'-x+1/2,y+1/4,z+3/4'
'-x+3/4,y,-z+3/4'
'x+3/4,-y,z+3/4'
'x+1/2,y+1/2,z'
'-x+1/2,-y+1/2,-z'
'-x+3/4,-y+3/4,z'
'x+3/4,y+3/4,-z'
'x+1/2,-y+3/4,-z+1/4'
'-x+1/2,y+3/4,z+1/4'
'-x+3/4,y+1/2,-z+1/4'
'x+3/4,-y+1/2,z+1/4'
loop_
_atom_site_label
_atom_site_type_symbol
_atom_site_fract_x
_atom_site_fract_y
_atom_site_fract_z
Np1 Np 0.125 0.125 0.291
Tc1 Tc 0.000 0.000 0.500
N1 N 0.077 0.375 0.375
# Magnetization in μB per formula unit: 2.22
# Final energy in eV/atom: -10.86
# ΔE_f (raw) in meV/atom: -316
# Calculated density in g/cm³: 13.0
# Energy above the most stable polymorph in this dataset in eV per atom: 0.000

For each record above, in turn, the calculated V values are 47.83, 41.74, 18.70, 19.50, 14.63, 14.83 Å³ per atom.